Density functional theory data (PBE) for a relaxed Li2Pa2Ni15 crystal.

Cell: 6.3846 6.3846 6.3846 Å, 83.08 83.08 83.08°
Closest atoms and distances in Å follow each position.
Fractional positions:
Li1 0.3861 0.3861 0.3861  12 Ni 2.72-2.99, 1 Li 2.81
Li2 0.6139 0.6139 0.6139  12 Ni 2.72-2.99, 1 Li 2.81
Pa1 0.1305 0.1305 0.1305  6 Ni 2.48-2.56
Pa2 0.8695 0.8695 0.8695  6 Ni 2.48-2.56
Ni1 0.5000 0.0000 0.0000  8 Ni 2.45-2.48, 2 Pa 2.48
Ni2 0.0000 0.0000 0.5000  8 Ni 2.45-2.48, 2 Pa 2.48
Ni3 0.0000 0.5000 0.0000  8 Ni 2.45-2.48, 2 Pa 2.48
Ni4 0.0000 0.6874 0.3126  8 Ni 2.45-2.65
Ni5 0.6874 0.3126 0.0000  8 Ni 2.45-2.65
Ni6 0.3126 0.0000 0.6874  8 Ni 2.45-2.65
Ni7 0.3126 0.6874 0.0000  8 Ni 2.45-2.65
Ni8 0.6874 0.0000 0.3126  8 Ni 2.45-2.65
Ni9 0.0000 0.3126 0.6874  8 Ni 2.45-2.65
Ni10 0.1681 0.6552 0.6552  8 Ni 2.39-2.53, 1 Pa 2.56
Ni11 0.6552 0.6552 0.1681  8 Ni 2.39-2.53, 1 Pa 2.56
Ni12 0.6552 0.1681 0.6552  8 Ni 2.39-2.53, 1 Pa 2.56
Ni13 0.8319 0.3448 0.3448  8 Ni 2.39-2.53, 1 Pa 2.56
Ni14 0.3448 0.3448 0.8319  8 Ni 2.39-2.53, 1 Pa 2.56
Ni15 0.3448 0.8319 0.3448  8 Ni 2.39-2.53, 1 Pa 2.56

Output
Its calculated formation energy is -89 meV per atom. The calculation puts the energy above the most stable polymorph in this dataset at 0.1701 eV/atom. Its final energy is -5.8539 eV per atom. The space group is R-3m. Its calculated density is 8.8 Mg/m³. As for the crystal system: trigonal.